No. 1
The following is a PBE calculation of Be2CuBr after structural relaxation, from Alexandria via LeMat-Bulk.

Cell and atoms, written as extended XYZ:
```
4
Lattice="-1.177 -1.784 2.217 0.403 -2.480 -1.780 6.579 -0.911 2.758" Properties=species:S:1:pos:R:3 pbc="T T T"
Be 0.986 -2.322 0.794
Be 0.024 -0.003 0.010
Cu 5.623 -2.964 2.738
Br 2.463 -0.341 1.033
```

Results
Raw formation energy: 0.362 eV/atom
Distance to the lowest polymorph of the same formula: 244.0 meV per atom
Magnetic moment: 0.0 μB per cell
V: 17.05 A^3/atom
Energy: -2.94 eV per atom
Space-group type: P4mm
Calculated density: 3.9 g cm⁻³



No. 2
The following is a PBE calculation of TiInAu after structural relaxation, from Alexandria via LeMat-Bulk.

Cell and atoms, written as extended XYZ:
```
12
Lattice="6.146 0.000 0.000 0.000 4.171 0.000 0.000 0.000 8.959" Properties=species:S:1:pos:R:3 pbc="T T T"
Ti 3.762 3.128 5.169
Ti 5.457 1.043 0.689
Ti 0.689 3.128 8.270
Ti 2.384 1.043 3.790
Au 0.645 3.128 2.170
Au 5.501 1.043 6.789
Au 3.718 3.128 2.309
Au 2.428 1.043 6.650
In 5.340 1.043 3.699
In 0.807 3.128 5.260
In 2.267 1.043 0.780
In 3.880 3.128 8.179
```

Results
DFT formation energy: -0.177 eV per atom
Magnetic moment: 4.4 μB per cell
V: 19.14 A^3/atom
Energy: -4.81 eV per atom
Space-group type: Pnma
Calculated density: 10.4 g cm⁻³



No. 3
The following is a PBE calculation of LiZr2Nb after structural relaxation, from Alexandria via LeMat-Bulk.

Cell and atoms, written as extended XYZ:
```
4
Lattice="2.929 0.000 0.000 1.464 2.536 0.000 1.464 0.845 11.497" Properties=species:S:1:pos:R:3 pbc="T T T"
Li 0.000 0.000 0.000
Zr 1.464 0.845 8.507
Zr 4.393 2.536 2.990
Nb 2.929 1.691 5.748
```

Results
Distance to the lowest polymorph of the same formula: 125.1 meV per atom
DFT formation energy: 0.272 eV per atom
Magnetic moment: 0.0 μB per cell
V: 21.35 A^3/atom
Energy: -7.00 eV per atom
Space-group type: R-3m
Calculated density: 5.5 g cm⁻³



No. 4
The following is a PBE calculation of TcTeAuI2 after structural relaxation, from Alexandria via LeMat-Bulk.

Cell and atoms, written as extended XYZ:
```
5
Lattice="5.568 0.000 0.000 0.000 5.568 0.000 0.000 0.000 5.048" Properties=species:S:1:pos:R:3 pbc="T T T"
Au 2.784 2.784 2.524
I 2.784 0.000 0.000
I 0.000 2.784 0.000
Tc 0.000 0.000 0.000
Te 0.000 0.000 2.524
```

Results
Raw formation energy: 0.671 eV/atom
Distance to the lowest polymorph of the same formula: 0.0 meV per atom
Magnetic moment: 0.9 μB per cell
V: 31.30 A^3/atom
Energy: -3.31 eV per atom
Space-group type: P4/mmm
Calculated density: 7.2 g cm⁻³



No. 5
The following is a PBE calculation of BH3Ru after structural relaxation, from Alexandria via LeMat-Bulk.

Cell and atoms, written as extended XYZ:
```
5
Lattice="-0.633 3.011 -0.111 -1.511 -0.416 -2.650 -2.607 -0.491 1.563" Properties=species:S:1:pos:R:3 pbc="T T T"
B 0.000 0.000 0.000
H -1.304 -0.245 0.781
H -0.317 1.506 -0.056
H -0.755 -0.208 -1.325
Ru -2.375 1.052 -0.599
```

Results
Distance to the lowest polymorph of the same formula: 0.0 meV per atom
Magnetic moment: 0.0 μB per cell
V: 5.84 A^3/atom
Energy: -4.26 eV per atom
Space-group type: Pm-3m
Calculated density: 6.5 g cm⁻³



No. 6
The following is a PBE calculation of Nd3ScPd12 after structural relaxation, from Alexandria via LeMat-Bulk.

Cell and atoms, written as extended XYZ:
```
16
Lattice="4.160 0.000 0.000 0.000 4.160 0.000 0.000 0.000 16.594" Properties=species:S:1:pos:R:3 pbc="T T T"
Nd 0.000 0.000 8.297
Nd 0.000 0.000 12.559
Nd 0.000 0.000 4.035
Pd 0.000 2.080 6.172
Pd 2.080 2.080 0.000
Pd 2.080 2.080 8.297
Pd 2.080 2.080 4.046
Pd 2.080 0.000 10.422
Pd 2.080 0.000 6.172
Pd 0.000 2.080 1.898
Pd 2.080 0.000 1.898
Pd 0.000 2.080 14.696
Pd 2.080 2.080 12.548
Pd 2.080 0.000 14.696
Pd 0.000 2.080 10.422
Sc 0.000 0.000 0.000
```

Results
DFT formation energy: -0.779 eV per atom
Magnetic moment: 0.0 μB per cell
V: 17.95 A^3/atom
Energy: -5.96 eV per atom
Space-group type: P4/mmm
Calculated density: 10.1 g cm⁻³